Record 1
DFT (PBE) results for an optimized crystal structure of NaZnPS2O2.

Cell: 5.611 5.611 5.111 Å, 115.03 115.03 95.93°
Atoms (fractional coordinates):
Na 0.868 0.132 0.000
O 0.275 0.457 0.170
O 0.543 0.725 0.830
P 0.509 0.491 0.500
S 0.399 0.125 0.491
S 0.875 0.601 0.509
Zn 0.281 0.719 0.000

Space-group type: C2 (5)
ΔE to the lowest computed polymorph, meV/atom: 0

***

Record 2
DFT (PBE) results for an optimized crystal structure of GdDyB2Pd2N2.

Cell: 3.711 3.711 7.638 Å, 90.00 90.00 90.00°
Atoms (fractional coordinates):
B 0.000 0.000 0.326
B 0.500 0.500 0.673
Dy 0.000 0.000 0.838
Gd 0.500 0.500 0.163
N 0.000 0.000 0.139
N 0.500 0.500 0.860
Pd 0.500 0.000 0.501
Pd 0.000 0.500 0.501

Space-group type: P4mm (99)
Total DFT energy (no corrections), eV per atom: -7.25

***

Record 3
DFT (PBE) results for an optimized crystal structure of LuScFeGe2.

Cell: 5.515 5.515 9.772 Å, 115.86 115.86 43.28°
Atoms (fractional coordinates):
Fe 0.727 0.727 0.372
Fe 0.273 0.273 0.628
Ge 0.487 0.487 0.132
Ge 0.353 0.353 0.434
Ge 0.647 0.647 0.566
Ge 0.513 0.513 0.868
Lu 0.186 0.186 0.111
Lu 0.814 0.814 0.889
Sc 0.005 0.005 0.334
Sc 0.995 0.995 0.666

Space-group type: C2/m (12)
ΔE to the lowest computed polymorph, meV/atom: 0

***

Record 4
DFT (PBE) results for an optimized crystal structure of Ho.

Cell: 3.510 3.510 8.568 Å, 90.00 90.00 120.00°
Atoms (fractional coordinates):
Ho 0.660 0.660 0.000
Ho 0.340 0.000 0.333
Ho 0.000 0.340 0.667

Calculated formation energy, eV per atom: 0.020
Space-group type: P3_121 (152)
ΔE to the lowest computed polymorph, meV/atom: 20

***

Record 5
DFT (PBE) results for an optimized crystal structure of PmMgCu.

Cell: 4.684 4.684 4.684 Å, 60.00 60.00 60.00°
Atoms (fractional coordinates):
Cu 0.000 0.000 0.000
Mg 0.250 0.250 0.250
Pm 0.750 0.750 0.750

Space-group type: F-43m (216)
ΔE to the lowest computed polymorph, meV/atom: 0

***

Record 6
DFT (PBE) results for an optimized crystal structure of GdRe2O8.

Cell: 5.614 6.098 6.099 Å, 119.99 90.00 90.00°
Atoms (fractional coordinates):
Gd 0.000 0.000 0.000
O 0.777 0.794 0.145
O 0.777 0.352 0.206
O 0.361 0.667 0.333
O 0.223 0.145 0.352
O 0.777 0.855 0.648
O 0.639 0.333 0.667
O 0.223 0.648 0.794
O 0.223 0.206 0.855
Re 0.671 0.667 0.333
Re 0.329 0.333 0.667

Space-group type: P-3 (147)
Total DFT energy (no corrections), eV per atom: -8.26

***

Record 7
DFT (PBE) results for an optimized crystal structure of CsLiOs.

Cell: 4.971 4.971 4.971 Å, 60.00 60.00 60.00°
Atoms (fractional coordinates):
Cs 0.250 0.250 0.250
Li 0.000 0.000 0.000
Os 0.750 0.750 0.750

Space-group type: F-43m (216)
ΔE to the lowest computed polymorph, meV/atom: 0

***

Record 8
DFT (PBE) results for an optimized crystal structure of TbLuSi2Os.

Cell: 5.733 5.733 9.916 Å, 116.97 116.97 43.10°
Atoms (fractional coordinates):
Lu 0.182 0.182 0.111
Lu 0.818 0.818 0.889
Os 0.729 0.729 0.371
Os 0.271 0.271 0.629
Si 0.496 0.496 0.123
Si 0.355 0.355 0.439
Si 0.645 0.645 0.561
Si 0.504 0.504 0.877
Tb 0.989 0.989 0.319
Tb 0.011 0.011 0.681

Space-group type: C2/m (12)
ΔE to the lowest computed polymorph, meV/atom: 25

***

Record 9
DFT (PBE) results for an optimized crystal structure of NbIrW2.

Cell: 4.515 4.515 4.515 Å, 60.00 60.00 60.00°
Atoms (fractional coordinates):
Ir 0.250 0.250 0.250
Nb 0.500 0.500 0.500
W 0.000 0.000 0.000
W 0.750 0.750 0.750

Calculated formation energy, eV per atom: 0.013
Space-group type: F-43m (216)

***

Record 10
DFT (PBE) results for an optimized crystal structure of NaTaTeAuS2.

Cell: 7.630 7.630 10.206 Å, 90.00 90.00 153.13°
Atoms (fractional coordinates):
Au 0.050 0.950 0.250
Au 0.950 0.050 0.750
Na 0.717 0.283 0.250
Na 0.283 0.717 0.750
S 0.118 0.882 0.038
S 0.118 0.882 0.462
S 0.882 0.118 0.538
S 0.882 0.118 0.962
Ta 0.500 0.500 0.000
Ta 0.500 0.500 0.500
Te 0.397 0.603 0.250
Te 0.603 0.397 0.750

Space-group type: Cmcm (63)
Total DFT energy (no corrections), eV per atom: -5.16

***

Record 11
DFT (PBE) results for an optimized crystal structure of TmTlZnTe3.

Cell: 11.497 4.324 15.589 Å, 90.00 90.00 90.00°
Atoms (fractional coordinates):
Te 0.073 0.750 0.116
Te 0.454 0.750 0.121
Te 0.762 0.250 0.177
Te 0.262 0.250 0.323
Te 0.954 0.750 0.379
Te 0.573 0.750 0.384
Te 0.427 0.250 0.616
Te 0.046 0.250 0.621
Te 0.738 0.750 0.677
Te 0.238 0.750 0.823
Te 0.546 0.250 0.879
Te 0.927 0.250 0.884
Tl 0.269 0.250 0.007
Tl 0.769 0.250 0.493
Tl 0.231 0.750 0.507
Tl 0.731 0.750 0.993
Tm 0.014 0.250 0.247
Tm 0.514 0.250 0.253
Tm 0.486 0.750 0.747
Tm 0.986 0.750 0.753
Zn 0.260 0.750 0.215
Zn 0.760 0.750 0.285
Zn 0.240 0.250 0.715
Zn 0.740 0.250 0.785

Space-group type: Pnma (62)
ΔE to the lowest computed polymorph, meV/atom: 0

***

Record 12
DFT (PBE) results for an optimized crystal structure of Hf4Ta2Au3C3.

Cell: 5.617 5.617 14.431 Å, 101.39 101.39 60.00°
Atoms (fractional coordinates):
Au 0.723 0.583 0.249
Au 0.109 0.891 0.250
Au 0.417 0.277 0.251
Au 0.583 0.723 0.749
Au 0.891 0.109 0.750
Au 0.277 0.417 0.751
C 0.665 0.170 0.000
C 0.000 0.500 0.000
C 0.335 0.830 0.000
C 0.170 0.665 0.500
C 0.500 0.000 0.500
C 0.830 0.335 0.500
Hf 0.698 0.869 0.093
Hf 0.036 0.195 0.093
Hf 0.805 0.964 0.407
Hf 0.131 0.302 0.407
Hf 0.869 0.698 0.593
Hf 0.195 0.036 0.593
Hf 0.964 0.805 0.907
Hf 0.302 0.131 0.907
Ta 0.356 0.527 0.080
Ta 0.473 0.644 0.420
Ta 0.527 0.356 0.580
Ta 0.644 0.473 0.920

Space-group type: C2/c (15)
Total DFT energy (no corrections), eV per atom: -9.07

***

Record 13
DFT (PBE) results for an optimized crystal structure of CsDyPbS3.

Cell: 16.072 4.101 12.266 Å, 90.00 90.00 90.00°
Atoms (fractional coordinates):
Cs 0.265 0.750 0.092
Cs 0.765 0.750 0.408
Cs 0.235 0.250 0.592
Cs 0.735 0.250 0.908
Dy 0.001 0.750 0.138
Dy 0.501 0.750 0.362
Dy 0.499 0.250 0.638
Dy 0.999 0.250 0.862
Pb 0.541 0.250 0.105
Pb 0.041 0.250 0.395
Pb 0.959 0.750 0.605
Pb 0.459 0.750 0.895
S 0.091 0.250 0.045
S 0.625 0.750 0.196
S 0.419 0.250 0.247
S 0.919 0.250 0.253
S 0.125 0.750 0.304
S 0.591 0.250 0.455
S 0.409 0.750 0.545
S 0.875 0.250 0.696
S 0.081 0.750 0.747
S 0.581 0.750 0.753
S 0.375 0.250 0.804
S 0.909 0.750 0.955

Space-group type: Pnma (62)
ΔE to the lowest computed polymorph, meV/atom: 0

***

Record 14
DFT (PBE) results for an optimized crystal structure of BiAsW4C2.

Cell: 3.256 3.256 13.151 Å, 90.00 90.00 120.00°
Atoms (fractional coordinates):
As 0.667 0.333 0.000
Bi 0.000 0.000 0.500
C 0.333 0.667 0.231
C 0.333 0.667 0.769
W 0.000 0.000 0.142
W 0.667 0.333 0.304
W 0.667 0.333 0.696
W 0.000 0.000 0.858

Space-group type: P-6m2 (187)
Total DFT energy (no corrections), eV per atom: -9.51

***

Record 15
DFT (PBE) results for an optimized crystal structure of CoNiBPt.

Cell: 3.971 3.971 3.971 Å, 60.00 60.00 60.00°
Atoms (fractional coordinates):
B 0.000 0.000 0.000
Co 0.500 0.500 0.500
Ni 0.750 0.750 0.750
Pt 0.250 0.250 0.250

Space-group type: F-43m (216)
ΔE to the lowest computed polymorph, meV/atom: 85

***

Record 16
DFT (PBE) results for an optimized crystal structure of TbHgPO.

Cell: 4.241 6.895 5.969 Å, 90.00 90.00 90.00°
Atoms (fractional coordinates):
Hg 0.000 0.634 0.439
Hg 0.000 0.366 0.939
O 0.000 0.293 0.438
O 0.000 0.707 0.938
P 0.500 0.804 0.438
P 0.500 0.196 0.938
Tb 0.500 0.207 0.439
Tb 0.500 0.793 0.939

Space-group type: Pmc2_1 (26)
Total DFT energy (no corrections), eV per atom: -5.12

***

Record 17
DFT (PBE) results for an optimized crystal structure of Tm2ZrGa2.

Cell: 7.371 7.371 4.193 Å, 90.00 90.00 90.00°
Atoms (fractional coordinates):
Ga 0.625 0.125 0.000
Ga 0.125 0.375 0.000
Ga 0.875 0.625 0.000
Ga 0.375 0.875 0.000
Tm 0.324 0.176 0.500
Tm 0.824 0.324 0.500
Tm 0.176 0.676 0.500
Tm 0.676 0.824 0.500
Zr 0.000 0.000 0.000
Zr 0.500 0.500 0.000

Space-group type: P4/mbm (127)
Total DFT energy (no corrections), eV per atom: -5.17

***

Record 18
DFT (PBE) results for an optimized crystal structure of LuAgTe3Pb.

Cell: 8.277 4.305 10.621 Å, 90.00 106.45 90.00°
Atoms (fractional coordinates):
Ag 0.417 0.750 0.407
Ag 0.583 0.250 0.593
Lu 0.200 0.250 0.170
Lu 0.800 0.750 0.830
Pb 0.766 0.250 0.295
Pb 0.234 0.750 0.705
Te 0.928 0.750 0.131
Te 0.448 0.750 0.152
Te 0.210 0.250 0.459
Te 0.790 0.750 0.541
Te 0.552 0.250 0.848
Te 0.072 0.250 0.869

Space-group type: P2_1/m (11)
ΔE to the lowest computed polymorph, meV/atom: 4

***

Record 19
DFT (PBE) results for an optimized crystal structure of ThOsBr.

Cell: 4.302 4.302 11.617 Å, 100.84 100.84 59.99°
Atoms (fractional coordinates):
Br 0.717 0.717 0.157
Br 0.283 0.283 0.843
Os 0.160 0.160 0.480
Os 0.840 0.840 0.520
Th 0.443 0.443 0.332
Th 0.557 0.557 0.668

Space-group type: C2/m (12)
Total DFT energy (no corrections), eV per atom: -7.67

***

Record 20
DFT (PBE) results for an optimized crystal structure of TmInAsO.

Cell: 4.418 4.418 8.395 Å, 90.00 90.00 90.00°
Atoms (fractional coordinates):
As 0.000 0.500 0.302
As 0.500 0.000 0.698
In 0.500 0.000 0.096
In 0.000 0.500 0.904
O 0.000 0.000 0.000
O 0.500 0.500 0.000
Tm 0.000 0.000 0.500
Tm 0.500 0.500 0.500

Space-group type: P4/nmm (129)
ΔE to the lowest computed polymorph, meV/atom: 792

***

Record 21
DFT (PBE) results for an optimized crystal structure of ZrTlTe2AuS.

Cell: 8.474 8.474 10.147 Å, 90.00 90.00 152.14°
Atoms (fractional coordinates):
Au 0.453 0.547 0.250
Au 0.547 0.453 0.750
S 0.045 0.955 0.250
S 0.955 0.045 0.750
Te 0.368 0.632 0.018
Te 0.368 0.632 0.482
Te 0.632 0.368 0.518
Te 0.632 0.368 0.982
Tl 0.776 0.224 0.250
Tl 0.224 0.776 0.750
Zr 0.000 0.000 0.000
Zr 0.000 0.000 0.500

Space-group type: Cmcm (63)
Total DFT energy (no corrections), eV per atom: -4.71

***

Record 22
DFT (PBE) results for an optimized crystal structure of Pd4C3.

Cell: 10.053 10.053 10.053 Å, 17.85 17.85 17.85°
Atoms (fractional coordinates):
C 0.425 0.425 0.425
C 0.571 0.571 0.571
C 0.998 0.998 0.998
Pd 0.125 0.125 0.125
Pd 0.289 0.289 0.289
Pd 0.705 0.705 0.705
Pd 0.871 0.871 0.871

Space-group type: R3m (160)
Total DFT energy (no corrections), eV per atom: -5.82

***

Record 23
DFT (PBE) results for an optimized crystal structure of Li2CdSn2.

Cell: 6.981 6.981 6.981 Å, 144.70 144.70 50.78°
Atoms (fractional coordinates):
Cd 0.000 0.000 0.000
Li 0.401 0.401 0.000
Li 0.599 0.599 0.000
Sn 0.750 0.250 0.500
Sn 0.250 0.750 0.500

Space-group type: I4/mmm (139)
Total DFT energy (no corrections), eV per atom: -2.59